[1]
Computed, not measured: an optimized crystal structure of Hg5Rh at the GGA-PBE level of DFT.

Values from the calculation:
SG: P4/mmm
energy above the lowest structure with this stoichiometry: 5.6 meV/atom

Unit cell a=3.139 b=3.139 c=14.127 alpha=90.00 beta=90.00 gamma=90.00
Element x y z (fractional)
Hg 0.000 0.000 0.000
Hg 0.000 0.000 0.375
Hg 0.000 0.000 0.625
Hg 0.500 0.500 0.189
Hg 0.500 0.500 0.811
Rh 0.500 0.500 0.500

[2]
Computed, not measured: an optimized crystal structure of Ga2AgO at the GGA-PBE level of DFT.

Values from the calculation:
raw formation energy: 0.104 eV per atom
SG: Fm-3m
energy above the lowest structure with this stoichiometry: 553.6 meV/atom

Unit cell a=4.515 b=4.515 c=4.515 alpha=60.00 beta=60.00 gamma=60.00
Element x y z (fractional)
Ga 0.250 0.250 0.250
Ga 0.750 0.750 0.750
Ag 0.000 0.000 0.000
O 0.500 0.500 0.500

[3]
Computed, not measured: an optimized crystal structure of AcPmIN at the GGA-PBE level of DFT.

Values from the calculation:
raw formation energy: -1.134 eV per atom
SG: Cm

Unit cell a=3.868 b=3.868 c=8.405 alpha=103.32 beta=103.32 gamma=59.83
Element x y z (fractional)
Ac 0.000 0.000 0.000
Pm 0.783 0.783 0.346
I 0.218 0.218 0.652
N 0.404 0.404 0.210

[4]
Computed, not measured: an optimized crystal structure of PrTlHg2Cl8 at the GGA-PBE level of DFT.

Values from the calculation:
raw formation energy: -1.190 eV per atom
SG: P-1

Unit cell a=6.762 b=6.921 c=9.114 alpha=81.51 beta=75.16 gamma=87.29
Element x y z (fractional)
Pr 0.000 0.000 0.000
Tl 0.000 0.000 0.500
Hg 0.470 0.479 0.729
Hg 0.530 0.521 0.271
Cl 0.218 0.823 0.197
Cl 0.242 0.344 0.967
Cl 0.257 0.857 0.752
Cl 0.269 0.391 0.490
Cl 0.731 0.609 0.510
Cl 0.743 0.143 0.248
Cl 0.758 0.656 0.033
Cl 0.782 0.177 0.803

[5]
Computed, not measured: an optimized crystal structure of ThCrS at the GGA-PBE level of DFT.

Values from the calculation:
raw formation energy: -0.670 eV per atom
SG: P4/nmm

Unit cell a=3.959 b=3.959 c=8.430 alpha=90.00 beta=90.00 gamma=90.00
Element x y z (fractional)
Th 0.250 0.250 0.198
Th 0.750 0.750 0.802
Cr 0.250 0.250 0.567
Cr 0.750 0.750 0.433
S 0.250 0.250 0.854
S 0.750 0.750 0.146

[6]
Computed, not measured: an optimized crystal structure of Cd2InSiGe at the GGA-PBE level of DFT.

Values from the calculation:
raw formation energy: 0.731 eV per atom
SG: P4/mmm

Unit cell a=5.105 b=5.105 c=5.431 alpha=90.00 beta=90.00 gamma=90.00
Element x y z (fractional)
Cd 0.000 0.500 0.000
Cd 0.500 0.000 0.000
In 0.000 0.000 0.500
Si 0.500 0.500 0.500
Ge 0.000 0.000 0.000

[7]
Computed, not measured: an optimized crystal structure of BaSr2LiH at the GGA-PBE level of DFT.

Values from the calculation:
SG: P4/mmm
energy above the lowest structure with this stoichiometry: 108.1 meV/atom

Unit cell a=5.413 b=5.413 c=6.555 alpha=90.00 beta=90.00 gamma=90.00
Element x y z (fractional)
Ba 0.000 0.000 0.000
Sr 0.000 0.500 0.500
Sr 0.500 0.000 0.500
Li 0.500 0.500 0.000
H 0.500 0.500 0.500

[8]
Computed, not measured: an optimized crystal structure of NdThC2 at the GGA-PBE level of DFT.

Values from the calculation:
SG: R-3m
energy above the lowest structure with this stoichiometry: 0.0 meV/atom

Unit cell a=6.502 b=6.502 c=6.502 alpha=33.66 beta=33.66 gamma=33.66
Element x y z (fractional)
Nd 0.000 0.000 0.000
Th 0.500 0.500 0.500
C 0.245 0.245 0.245
C 0.755 0.755 0.755

[9]
Computed, not measured: an optimized crystal structure of AcEu2In at the GGA-PBE level of DFT.

Values from the calculation:
SG: Fm-3m
energy above the lowest structure with this stoichiometry: 127.0 meV/atom

Unit cell a=5.823 b=5.823 c=5.823 alpha=60.00 beta=60.00 gamma=60.00
Element x y z (fractional)
Ac 0.000 0.000 0.000
Eu 0.250 0.250 0.250
Eu 0.750 0.750 0.750
In 0.500 0.500 0.500

[10]
Computed, not measured: an optimized crystal structure of PuGaCl4 at the GGA-PBE level of DFT.

Values from the calculation:
raw formation energy: -1.488 eV per atom
SG: Imma
energy above the lowest structure with this stoichiometry: 0.0 meV/atom

Unit cell a=8.770 b=8.770 c=8.770 alpha=123.19 beta=120.87 gamma=86.53
Element x y z (fractional)
Pu 0.500 0.000 0.000
Pu 0.500 0.500 0.500
Ga 0.000 0.000 0.000
Ga 0.500 0.000 0.500
Cl 0.285 0.245 0.040
Cl 0.291 0.282 0.490
Cl 0.291 0.801 0.010
Cl 0.296 0.755 0.540
Cl 0.704 0.245 0.460
Cl 0.709 0.199 0.990
Cl 0.709 0.718 0.510
Cl 0.715 0.755 0.960

[11]
Computed, not measured: an optimized crystal structure of Mg2InBCl at the GGA-PBE level of DFT.

Values from the calculation:
raw formation energy: 0.254 eV per atom
SG: P4/mmm

Unit cell a=4.562 b=4.562 c=5.752 alpha=90.00 beta=90.00 gamma=90.00
Element x y z (fractional)
Mg 0.000 0.500 0.000
Mg 0.500 0.000 0.000
In 0.000 0.000 0.500
B 0.500 0.500 0.000
Cl 0.500 0.500 0.500

[12]
Computed, not measured: an optimized crystal structure of Mg4In5Cu2 at the GGA-PBE level of DFT.

Values from the calculation:
SG: P2/m

Unit cell a=7.570 b=3.320 c=9.397 alpha=90.00 beta=93.74 gamma=90.00
Element x y z (fractional)
Mg 0.195 0.000 0.350
Mg 0.210 0.000 0.934
Mg 0.790 0.000 0.066
Mg 0.805 0.000 0.650
In 0.149 0.500 0.646
In 0.453 0.500 0.165
In 0.500 0.500 0.500
In 0.547 0.500 0.835
In 0.851 0.500 0.354
Cu 0.073 0.500 0.129
Cu 0.927 0.500 0.871

Let's list total DFT energy (no corrections) in order: -1.352 -3.362 -5.817 -3.067 -7.727 -2.191 -2.086 -7.683 -6.930 -5.613 -2.637 -2.646 eV per atom.